This record from Alexandria describes crystalline AcPmH6Pd4 at its relaxed geometry. The functional is PBE.

```
AcPmH6Pd4
1.0
4.9143 0.0000 0.0000
-2.4572 4.2559 0.0000
0.0000 0.0000 7.3783
Ac Pm H Pd
1 1 6 4
direct
0.0000 0.0000 0.0000
0.0000 0.0000 0.5000
0.0000 0.5000 0.1584
0.0000 0.5000 0.8416
0.5000 0.0000 0.1584
0.5000 0.0000 0.8416
0.5000 0.5000 0.1584
0.5000 0.5000 0.8416
0.3333 0.6667 0.3021
0.3333 0.6667 0.6979
0.6667 0.3333 0.3021
0.6667 0.3333 0.6979
```

Summary:
As for the calculated total energy: -54.83 eV for the cell shown. As for the total magnetic moment: 0.000 μB per cell.